A plane-wave DFT calculation with PBE was carried out for a geometry-optimized TbCd2Au5 structure.

Cell and atoms, written as extended XYZ:
```
8
Lattice="4.8043 0.0000 0.0000 0.0000 3.5106 4.7965 0.0000 -3.5106 4.7965" Properties=species:S:1:pos:R:3 pbc="T T T"
Tb 0.0000 0.0000 0.0000
Cd 0.0000 0.0000 4.4465
Cd 2.4022 0.0000 6.6509
Au 0.0000 -1.5746 7.0817
Au 0.0000 1.5746 7.0817
Au 2.4022 0.0000 1.8212
Au 2.4022 -1.7077 4.2060
Au 2.4022 1.7077 4.2060
```

Results
Calculated formation energy in eV per formula unit: -2.91
Symmetry: Amm2 (38)